w | GaBiCl3 | PBE-GGA | optimized geometry

a b c (Å): 5.052 5.052 5.052
angles (deg): 90.00 90.00 90.00
Fractional positions:
Ga (0.000, 0.000, 0.000)
Bi (0.500, 0.500, 0.500)
Cl (0.000, 0.000, 0.500)
Cl (0.000, 0.500, 0.000)
Cl (0.500, 0.000, 0.000)

---

x | GaBiCl3 | PBE-GGA | optimized geometry

a b c (Å): 8.301 8.301 8.301
angles (deg): 86.87 120.00 123.69
Fractional positions:
Ga (0.037, 0.250, 0.287)
Ga (0.963, 0.750, 0.713)
Bi (0.050, 0.532, 0.018)
Bi (0.514, 0.032, 0.982)
Cl (0.185, 0.147, 0.538)
Cl (0.353, 0.638, 0.901)
Cl (0.353, 0.951, 0.215)
Cl (0.608, 0.647, 0.462)
Cl (0.736, 0.138, 0.785)
Cl (0.736, 0.451, 0.099)

---

y | GaBiCl3 | PBE-GGA | optimized geometry

a b c (Å): 5.614 5.614 5.614
angles (deg): 90.00 90.00 90.00
Fractional positions:
Ga (0.000, 0.000, 0.000)
Bi (0.500, 0.500, 0.500)
Cl (0.000, 0.500, 0.500)
Cl (0.500, 0.000, 0.500)
Cl (0.500, 0.500, 0.000)

---

Short version: w is the least stable of them.